First-principles (GGA-PBE) data for crystalline HfMn2Re2 at its relaxed geometry, as listed in Alexandria.

```
HfMn2Re2
1.0
3.989 0.000 0.000
0.000 3.989 0.000
1.995 1.995 5.080
Re Mn Hf
2 2 1
Cartesian
1.995 1.995 1.254 Re
3.989 3.989 3.826 Re
3.989 1.995 2.540 Mn
1.995 3.989 2.540 Mn
0.000 0.000 0.000 Hf
```

Results
The relative energy among the computed polymorphs comes out at 1.72 kcal/mol of atoms.

***

First-principles (GGA-PBE) data for crystalline HfMn3Re at its relaxed geometry, as listed in Alexandria.

```
HfMn3Re
1.0
-1.732 2.976 2.984
-4.176 -1.644 -0.785
0.564 -3.033 3.353
Re Mn Hf
1 3 1
Cartesian
-2.672 -0.851 2.776 Re
-2.088 -0.822 -0.393 Mn
0.282 -1.517 1.676 Mn
-0.866 1.488 1.492 Mn
0.000 0.000 0.000 Hf
```

Results
The relative energy among the computed polymorphs comes out at 20.80 kcal/mol of atoms.

***

First-principles (GGA-PBE) data for crystalline Hf2Mn9Re at its relaxed geometry, as listed in Alexandria.

```
Hf2Mn9Re
1.0
4.585 0.000 1.312
2.105 4.073 1.312
0.095 0.058 8.341
Hf Mn Re
2 9 1
Cartesian
0.994 0.605 5.197 Hf
5.790 3.526 5.768 Hf
2.345 1.428 9.142 Mn
4.439 2.703 1.822 Mn
3.392 2.065 5.482 Mn
3.998 2.434 7.851 Mn
2.909 0.326 7.172 Mn
1.625 2.434 7.172 Mn
2.786 1.696 3.114 Mn
5.159 1.696 3.793 Mn
3.875 3.804 3.793 Mn
0.000 0.000 0.000 Re
```

***

First-principles (GGA-PBE) data for crystalline HfMn2Re2 at its relaxed geometry, as listed in Alexandria.

```
HfMn2Re2
1.0
-1.353 -1.675 -6.984
-6.696 -2.277 1.843
-0.984 2.551 -0.422
Re Mn Hf
4 4 2
Cartesian
-6.191 -2.535 -0.895 Re
-5.485 -2.902 -4.767 Re
-1.858 -1.418 -4.247 Re
-2.564 -1.050 -0.374 Re
-5.016 -0.441 -0.041 Mn
-7.083 -1.751 -3.150 Mn
-4.016 -0.961 -5.522 Mn
-1.949 0.350 -2.413 Mn
0.000 0.000 0.000 Hf
-4.024 -1.976 -2.571 Hf
```

Results
The relative energy among the computed polymorphs comes out at 1.97 kcal/mol of atoms.

***

First-principles (GGA-PBE) data for crystalline HfMn2Re at its relaxed geometry, as listed in Alexandria.

```
HfMn2Re
1.0
-3.243 4.945 3.636
-4.695 0.650 -5.072
-5.503 0.924 0.462
Re Mn Hf
2 4 2
Cartesian
0.000 0.000 0.000 Re
-6.358 4.334 1.690 Re
-4.100 3.572 1.878 Mn
-4.605 1.087 -2.724 Mn
-6.944 2.769 -0.019 Mn
-11.234 5.611 -1.084 Mn
-3.969 2.798 -0.718 Hf
-7.084 2.186 -2.664 Hf
```

Results
The relative energy among the computed polymorphs comes out at 12.05 kcal/mol of atoms.

***

First-principles (GGA-PBE) data for crystalline HfMn2Re2 at its relaxed geometry, as listed in Alexandria.

```
HfMn2Re2
1.0
-1.242 6.099 -3.711
-6.947 -0.165 2.054
0.632 1.503 2.258
Re Mn Hf
4 4 2
Cartesian
-4.476 1.624 1.889 Re
-6.334 4.644 0.399 Re
-3.081 5.812 -1.288 Re
-1.223 2.792 0.201 Re
-6.475 2.092 0.419 Mn
-5.477 5.180 -1.915 Mn
-1.714 3.841 -2.077 Mn
-2.712 0.754 0.257 Mn
0.000 0.000 0.000 Hf
-4.094 2.967 -0.829 Hf
```

Results
The relative energy among the computed polymorphs comes out at 0.00 kcal/mol of atoms.

***

First-principles (GGA-PBE) data for crystalline HfMn4Re at its relaxed geometry, as listed in Alexandria.

```
HfMn4Re
1.0
3.857 1.738 -2.233
0.780 4.729 0.376
-2.262 0.113 6.795
Hf Mn Re
1 4 1
Cartesian
1.929 0.869 -1.116 Hf
-0.005 1.215 1.027 Mn
2.380 5.366 3.911 Mn
-1.131 0.057 3.397 Mn
1.188 3.290 2.469 Mn
-0.741 2.421 3.585 Re
```

Results
The relative energy among the computed polymorphs comes out at 10.41 kcal/mol of atoms.

***

First-principles (GGA-PBE) data for crystalline Hf3Mn7Re2 at its relaxed geometry, as listed in Alexandria.

```
Hf3Mn7Re2
1.0
-3.207 3.179 2.018
-1.213 -0.409 4.777
4.669 5.861 4.248
Hf Mn Re
3 7 2
Cartesian
0.000 0.000 0.000 Hf
-1.796 4.879 7.642 Hf
2.045 3.752 3.401 Hf
0.124 4.316 5.521 Mn
-2.226 4.287 4.922 Mn
-1.209 2.458 6.329 Mn
-0.591 2.666 3.893 Mn
2.474 4.344 6.121 Mn
0.839 5.965 7.149 Mn
1.458 6.174 4.714 Mn
-2.928 1.862 4.536 Re
3.176 6.769 6.507 Re
```

***

First-principles (GGA-PBE) data for crystalline HfMnRe3 at its relaxed geometry, as listed in Alexandria.

```
HfMnRe3
1.0
4.445 0.000 0.000
0.000 4.445 0.000
0.000 0.000 4.445
Re Mn Hf
3 1 1
Cartesian
0.000 2.222 0.000 Re
0.000 0.000 2.222 Re
2.222 0.000 0.000 Re
0.000 0.000 0.000 Mn
2.222 2.222 2.222 Hf
```

Results
The relative energy among the computed polymorphs comes out at 0.00 kcal/mol of atoms.

***

First-principles (GGA-PBE) data for crystalline Hf2Mn3Re at its relaxed geometry, as listed in Alexandria.

```
Hf2Mn3Re
1.0
4.497 -0.135 -2.364
-2.859 4.196 -0.215
-0.242 0.091 4.997
Hf Mn Re
2 3 1
Cartesian
2.269 1.483 -1.232 Hf
-0.873 2.670 3.650 Hf
0.698 2.076 1.209 Mn
-0.121 0.046 2.499 Mn
2.128 -0.022 1.317 Mn
0.000 0.000 0.000 Re
```

***

Values for DFT total energy, Ry/atom, ordered as above
-0.7712; -0.5898; -0.7031; -0.7704; -0.7135; -0.7767; -0.6996; -0.7402; -0.7607; -0.7565
Values for D(E_F), states/eV per atom, ordered as above
0.519; 1.308; 1.205; 1.071; 1.040; 1.071; 1.025; 1.031; 0.967; 0.752
Values for energy relative to the elements, meV per atom, ordered as above
145; 1958; 7; 156; 477; 70; 328; -160; 943; -316